Entry from Alexandria via LeMat-Bulk: crystalline MgZrCl3 at its relaxed geometry (GGA-PBE).

Geometry as POSCAR:
```
MgZrCl3
1.0
5.1182 0.0000 0.0000
0.0000 5.1182 0.0000
0.0000 0.0000 5.1182
Mg Zr Cl
1 1 3
Cartesian
0.0000 0.0000 0.0000
2.5591 2.5591 2.5591
0.0000 2.5591 2.5591
2.5591 0.0000 2.5591
2.5591 2.5591 0.0000
```

## Properties
Volume ... 26.816 Å³/atom
ΔE to the lowest computed polymorph ... 0.0000 eV/atom
Formation energy (no corrections) ... -936 meV/atom
Uncorrected energy ... -4.0729 eV/atom
Magnetization ... 0.047 μB/atom



Entry from Alexandria via LeMat-Bulk: crystalline Ni3C at its relaxed geometry (GGA-PBE).

Geometry as POSCAR:
```
Ni3C
1.0
2.3776 -4.3584 0.0000
2.3776 4.3584 0.0000
0.0000 0.0000 4.0784
Ni C
6 2
Cartesian
1.1833 1.5035 3.0588
2.3776 3.6695 3.0588
1.1833 -1.5035 1.0196
3.5718 1.5035 3.0588
2.3776 -3.6695 1.0196
3.5718 -1.5035 1.0196
2.3776 0.1455 3.0588
2.3776 -0.1455 1.0196
```

## Properties
Volume ... 10.565 Å³/atom
ΔE to the lowest computed polymorph ... 0.8170 eV/atom
Energy of formation from the pure elements ... 0.88 eV per atom
Uncorrected energy ... -5.7631 eV/atom
Magnetization ... 0.178 μB/atom



Entry from Alexandria via LeMat-Bulk: crystalline Tm2PaIrO8 at its relaxed geometry (GGA-PBE).

Geometry as POSCAR:
```
Tm2PaIrO8
1.0
3.4859 -3.5720 0.0000
3.4859 3.5720 0.0000
0.0000 0.0000 6.7156
Tm Pa Ir O
2 1 1 8
Cartesian
0.0000 0.0000 1.6305
0.0000 0.0000 5.0851
3.4859 0.0000 3.3578
3.4859 0.0000 0.0000
1.3619 0.0000 3.3578
1.5506 0.0000 0.0000
3.4859 1.3311 1.5589
3.4859 1.3311 5.1568
3.4859 -1.3311 1.5589
3.4859 -1.3311 5.1568
5.4213 0.0000 0.0000
5.6099 0.0000 3.3578
```

## Properties
Volume ... 13.937 Å³/atom
Formation energy (no corrections) ... -2727 meV/atom
Uncorrected energy ... -8.3075 eV/atom
Magnetization ... 0.168 μB/atom



Entry from Alexandria via LeMat-Bulk: crystalline TbNd2Sm2Er4 at its relaxed geometry (GGA-PBE).

Geometry as POSCAR:
```
TbNd2Sm2Er4
1.0
9.3649 -1.8049 0.0000
9.3649 1.8049 0.0000
-4.1729 0.0000 8.6428
Tb Nd Sm Er
1 2 2 4
Cartesian
0.0000 0.0000 0.0000
2.1007 0.0000 8.6278
12.4563 0.0000 0.0150
-0.0109 0.0000 5.7259
14.5679 0.0000 2.9170
2.0598 0.0000 2.9084
6.2158 0.0000 5.7639
8.3412 0.0000 2.8790
12.4972 0.0000 5.7345
```

## Properties
Volume ... 32.464 Å³/atom
Energy of formation from the pure elements ... 0.00 eV per atom
Uncorrected energy ... -4.6495 eV/atom
Magnetization ... 0.000 μB/atom



Entry from Alexandria via LeMat-Bulk: crystalline FeSnS2N at its relaxed geometry (GGA-PBE).

Geometry as POSCAR:
```
FeSnS2N
1.0
5.0448 0.0000 0.0000
0.0000 5.0448 0.0000
0.0000 0.0000 4.0103
Fe Sn S N
1 1 2 1
Cartesian
0.0000 0.0000 0.0000
2.5224 2.5224 2.0051
0.0000 2.5224 2.0051
2.5224 0.0000 2.0051
2.5224 2.5224 0.0000
```

## Properties
Volume ... 20.412 Å³/atom
Formation energy (no corrections) ... 1078 meV/atom
Uncorrected energy ... -4.7316 eV/atom
Magnetization ... 1.037 μB/atom



Entry from Alexandria via LeMat-Bulk: crystalline Y2TlW at its relaxed geometry (GGA-PBE).

Geometry as POSCAR:
```
Y2TlW
1.0
4.8029 -1.5867 0.0000
4.8029 1.5867 0.0000
-0.8356 0.0000 6.6037
Y Tl W
2 1 1
Cartesian
2.1768 0.0000 1.5312
6.5935 0.0000 5.0724
-0.4178 0.0000 3.3018
4.8029 0.0000 0.0000
```

## Properties
Volume ... 25.163 Å³/atom
ΔE to the lowest computed polymorph ... 0.2790 eV/atom
Energy of formation from the pure elements ... 0.48 eV per atom
Uncorrected energy ... -6.5790 eV/atom
Magnetization ... 0.000 μB/atom